Record 1
A relaxed structure of TlBOsS2, computed with GGA-PBE.

a = 4.4852 Å, b = 4.4852 Å, c = 4.1707 Å
α = 90.00°, β = 90.00°, γ = 90.00°
Space group P4/mmm (No. 123)
Inequivalent atoms, fractional coordinates:
Tl 0.0000 0.0000 0.0000
B 0.5000 0.5000 0.5000
Os 0.5000 0.5000 0.0000
S 0.0000 0.5000 0.5000

Computed properties:
ΔE_f (raw)	1.0481	eV per atom
total moment	0.00	μB per cell



Record 2
A relaxed structure of VB2OsS, computed with GGA-PBE.

a = 3.7541 Å, b = 3.7541 Å, c = 4.3524 Å
α = 90.00°, β = 90.00°, γ = 90.00°
Space group P4/mmm (No. 123)
Inequivalent atoms, fractional coordinates:
V 0.0000 0.0000 0.0000
B 0.0000 0.5000 0.5000
Os 0.5000 0.5000 0.0000
S 0.0000 0.0000 0.5000

Computed properties:
ΔE_f (raw)	1.4775	eV per atom
total moment	0.00	μB per cell



Record 3
A relaxed structure of Y2BOsS, computed with GGA-PBE.

a = 5.1439 Å, b = 5.1439 Å, c = 3.6933 Å
α = 90.00°, β = 90.00°, γ = 90.00°
Space group P4/mmm (No. 123)
Inequivalent atoms, fractional coordinates:
Y 0.0000 0.5000 0.0000
B 0.0000 0.0000 0.5000
Os 0.5000 0.5000 0.5000
S 0.0000 0.0000 0.0000

Computed properties:
ΔE_f (raw)	0.2363	eV per atom
total moment	0.00	μB per cell



What is the formula in the first record?
TlBOsS2